VASP calculation (PBE) on a relaxed Sr2Sb2Ir crystal.

V (A^3/atom): 27.1
Space group: No. 127
Raw formation energy (eV per formula unit): -2.77

abc: 7.260 7.260 5.148
angles: 90.00 90.00 90.00
Positions (direct):
Sr: 0.169 0.331 0.000
Sr: 0.331 0.831 0.000
Sr: 0.669 0.169 0.000
Sr: 0.831 0.669 0.000
Sb: 0.149 0.649 0.500
Sb: 0.351 0.149 0.500
Sb: 0.649 0.851 0.500
Sb: 0.851 0.351 0.500
Ir: 0.000 0.000 0.500
Ir: 0.500 0.500 0.500